[1]
{
  "formula": "ThMg3",
  "functional": "PBE",
  "state": "optimized geometry",
  "lattice_angstrom": [[3.224, 5.854, -1.157], [-4.532, -0.440, 5.028], [3.793, -1.438, 3.293]],
  "species": ["Th", "Mg", "Th", "Mg", "Mg", "Mg", "Mg", "Mg"],
  "frac_coords": [[0.667, 0.333, 0.250], [0.161, 0.839, 0.250], [0.333, 0.667, 0.750], [0.839, 0.679, 0.750], [0.679, 0.839, 0.250], [0.161, 0.321, 0.250], [0.321, 0.161, 0.750], [0.839, 0.161, 0.750]],
  "e_form_mev_per_atom": 42,
  "rho_g_cm3": 4.9,
  "sg": "No. 194"
}



[2]
{
  "formula": "Th4Mg",
  "functional": "PBE",
  "state": "optimized geometry",
  "lattice_angstrom": [[7.293, -3.329, 0.540], [3.124, -1.686, 7.209], [0.763, -7.643, 2.360]],
  "species": ["Mg", "Th", "Th", "Th", "Th", "Mg", "Th", "Th", "Th", "Th"],
  "frac_coords": [[0.250, 0.250, 0.250], [0.397, 0.808, 0.397], [0.853, 0.853, 0.442], [0.853, 0.853, 0.853], [0.853, 0.442, 0.853], [0.000, 0.000, 0.000], [0.442, 0.853, 0.853], [0.808, 0.397, 0.397], [0.397, 0.397, 0.808], [0.397, 0.397, 0.397]],
  "relative_energy_mev_per_atom": 862,
  "e_form_mev_per_atom": 935,
  "rho_g_cm3": 8.6,
  "sg": "No. 227"
}



[3]
{
  "formula": "ThMg5",
  "functional": "PBE",
  "state": "optimized geometry",
  "lattice_angstrom": [[3.374, 0.000, 0.000], [0.000, 3.374, 0.000], [0.000, 0.000, 13.065]],
  "species": ["Mg", "Mg", "Mg", "Mg", "Th", "Mg"],
  "frac_coords": [[0.000, 0.000, 0.691], [0.500, 0.500, 0.154], [0.500, 0.500, 0.846], [0.000, 0.000, 0.000], [0.500, 0.500, 0.500], [0.000, 0.000, 0.309]],
  "e_form_mev_per_atom": 19,
  "rho_g_cm3": 3.9,
  "sg": "No. 123"
}



[4]
{
  "formula": "Th4Mg",
  "functional": "PBE",
  "state": "optimized geometry",
  "lattice_angstrom": [[-2.077, -4.352, 0.405], [1.344, -3.765, -4.659], [3.466, -4.063, 3.027]],
  "species": ["Mg", "Th", "Th", "Th", "Th"],
  "frac_coords": [[0.000, 0.000, 0.000], [0.206, 0.194, 0.394], [0.600, 0.606, 0.194], [0.400, 0.394, 0.806], [0.794, 0.806, 0.606]],
  "relative_energy_mev_per_atom": 0,
  "e_form_mev_per_atom": 73,
  "rho_g_cm3": 10.3,
  "sg": "No. 87"
}



[5]
{
  "formula": "Th2Mg7",
  "functional": "PBE",
  "state": "optimized geometry",
  "lattice_angstrom": [[-0.779, 4.613, -3.319], [-4.495, -3.206, 1.557], [-0.997, 4.651, 6.698]],
  "species": ["Mg", "Mg", "Mg", "Th", "Mg", "Mg", "Th", "Mg", "Mg"],
  "frac_coords": [[0.000, 0.327, 0.657], [0.673, 0.673, 0.657], [0.327, 0.327, 0.343], [0.667, 0.333, 0.000], [0.000, 0.673, 0.343], [0.000, 0.000, 0.000], [0.333, 0.667, 0.000], [0.673, 0.000, 0.343], [0.327, 0.000, 0.657]],
  "e_form_mev_per_atom": 90,
  "rho_g_cm3": 4.5,
  "sg": "No. 162"
}



[6]
{
  "formula": "ThMg3",
  "functional": "PBE",
  "state": "optimized geometry",
  "lattice_angstrom": [[-2.860, 3.785, -0.076], [-0.921, -0.603, 4.615], [3.672, 2.796, 1.099]],
  "species": ["Th", "Mg", "Mg", "Mg"],
  "frac_coords": [[0.000, 0.000, 0.000], [0.500, 0.000, 0.500], [0.000, 0.500, 0.500], [0.500, 0.500, 0.000]],
  "e_form_mev_per_atom": 88,
  "rho_g_cm3": 4.7,
  "sg": "No. 221"
}



[7]
{
  "formula": "Th3Mg",
  "functional": "PBE",
  "state": "optimized geometry",
  "lattice_angstrom": [[-4.076, 2.425, -1.352], [-1.769, -4.119, -2.055], [0.743, -0.390, 6.057]],
  "species": ["Th", "Mg", "Th", "Th"],
  "frac_coords": [[0.250, 0.750, 0.500], [0.000, 0.000, 0.000], [0.750, 0.250, 0.500], [0.500, 0.500, 0.000]],
  "e_form_mev_per_atom": 65,
  "rho_g_cm3": 9.8,
  "sg": "No. 139"
}



[8]
{
  "formula": "Th3Mg",
  "functional": "PBE",
  "state": "optimized geometry",
  "lattice_angstrom": [[-1.955, 2.157, 2.063], [-1.364, -3.710, 2.587], [5.642, 0.957, 4.348]],
  "species": ["Th", "Th", "Th", "Mg"],
  "frac_coords": [[0.500, 0.500, 0.240], [0.000, 0.000, 0.500], [0.500, 0.500, 0.760], [0.000, 0.000, 0.000]],
  "e_form_mev_per_atom": 62,
  "rho_g_cm3": 9.9,
  "sg": "No. 47"
}



[9]
{
  "formula": "ThMg5",
  "functional": "PBE",
  "state": "optimized geometry",
  "lattice_angstrom": [[-0.514, -3.233, -3.919], [3.405, -0.970, 3.680], [-4.689, -3.420, 3.437]],
  "species": ["Mg", "Mg", "Th", "Mg", "Mg", "Mg"],
  "frac_coords": [[0.667, 0.333, 0.753], [0.333, 0.667, 0.247], [0.000, 0.000, 0.500], [0.667, 0.333, 0.247], [0.333, 0.667, 0.753], [0.000, 0.000, 0.000]],
  "e_form_mev_per_atom": 36,
  "rho_g_cm3": 3.9,
  "sg": "No. 191"
}



[10]
{
  "formula": "Th2MgTi",
  "functional": "PBE",
  "state": "optimized geometry",
  "lattice_angstrom": [[-1.177, -2.799, -2.036], [2.509, -2.171, 1.534], [-5.258, -1.992, 5.779]],
  "species": ["Mg", "Th", "Th", "Ti"],
  "frac_coords": [[0.500, 0.500, 0.500], [0.000, 0.000, 0.767], [0.000, 0.000, 0.233], [0.500, 0.500, 0.000]],
  "relative_energy_mev_per_atom": 0,
  "e_form_mev_per_atom": 161,
  "rho_g_cm3": 8.3,
  "sg": "No. 123"
}



[11]
{
  "formula": "Th2MgTi",
  "functional": "PBE",
  "state": "optimized geometry",
  "lattice_angstrom": [[-2.698, -1.160, -1.435], [0.084, -2.872, -1.559], [-3.807, -6.836, 8.961]],
  "species": ["Ti", "Th", "Th", "Mg"],
  "frac_coords": [[0.000, 0.000, 0.000], [0.917, 0.917, 0.248], [0.083, 0.083, 0.752], [0.500, 0.500, 0.500]],
  "relative_energy_mev_per_atom": 265,
  "e_form_mev_per_atom": 426,
  "rho_g_cm3": 8.2,
  "sg": "No. 166"
}



[12]
{
  "formula": "Th2MgTi",
  "functional": "PBE",
  "state": "optimized geometry",
  "lattice_angstrom": [[-0.714, 2.970, 4.363], [-4.654, -0.141, 2.585], [-0.321, -2.325, 4.781]],
  "species": ["Ti", "Th", "Mg", "Th"],
  "frac_coords": [[0.500, 0.500, 0.500], [0.250, 0.250, 0.250], [0.000, 0.000, 0.000], [0.750, 0.750, 0.750]],
  "relative_energy_mev_per_atom": 22,
  "e_form_mev_per_atom": 183,
  "rho_g_cm3": 8.3,
  "sg": "No. 225"
}



[13]
{
  "formula": "ThMgTi2",
  "functional": "PBE",
  "state": "optimized geometry",
  "lattice_angstrom": [[-1.854, -3.707, -0.243], [2.651, -1.093, -3.558], [3.113, -1.744, 2.855]],
  "species": ["Th", "Ti", "Mg", "Ti"],
  "frac_coords": [[0.500, 0.000, 0.000], [0.000, 0.000, 0.500], [0.500, 0.500, 0.500], [0.000, 0.500, 0.000]],
  "e_form_mev_per_atom": 216,
  "rho_g_cm3": 6.7,
  "sg": "No. 123"
}



[14]
{
  "formula": "YThMgTi",
  "functional": "PBE",
  "state": "optimized geometry",
  "lattice_angstrom": [[-3.183, 2.586, 3.355], [-3.314, -2.705, 3.126], [0.888, -0.247, 5.217]],
  "species": ["Th", "Y", "Ti", "Mg"],
  "frac_coords": [[0.000, 0.000, 0.000], [0.500, 0.500, 0.500], [0.250, 0.250, 0.250], [0.750, 0.750, 0.750]],
  "e_form_mev_per_atom": 146,
  "rho_g_cm3": 6.2,
  "sg": "No. 216"
}



[15]
{
  "formula": "ThMgZrTi",
  "functional": "PBE",
  "state": "optimized geometry",
  "lattice_angstrom": [[-4.028, 3.090, 0.283], [-4.697, -1.947, 0.081], [-2.760, 0.196, 4.267]],
  "species": ["Ti", "Zr", "Th", "Mg"],
  "frac_coords": [[0.250, 0.250, 0.250], [0.000, 0.000, 0.000], [0.500, 0.500, 0.500], [0.750, 0.750, 0.750]],
  "e_form_mev_per_atom": 129,
  "rho_g_cm3": 7.1,
  "sg": "No. 216"
}



[16]
{
  "formula": "Th2MgTl2",
  "functional": "PBE",
  "state": "optimized geometry",
  "lattice_angstrom": [[5.050, 0.000, 0.000], [0.000, 6.625, 0.000], [-2.525, 0.000, 8.728]],
  "species": ["Mg", "Th", "Th", "Tl", "Mg", "Tl", "Tl", "Th", "Tl", "Th"],
  "frac_coords": [[0.609, 0.559, 0.219], [0.010, 0.279, 0.019], [0.198, 0.880, 0.397], [0.812, 0.891, 0.623], [0.391, 0.059, 0.781], [0.584, 0.025, 0.168], [0.416, 0.525, 0.832], [0.990, 0.779, 0.981], [0.188, 0.391, 0.377], [0.802, 0.380, 0.603]],
  "relative_energy_mev_per_atom": 81,
  "e_form_mev_per_atom": -44,
  "rho_g_cm3": 10.2,
  "sg": "No. 36"
}



[17]
{
  "formula": "ThMgTl",
  "functional": "PBE",
  "state": "optimized geometry",
  "lattice_angstrom": [[-1.385, 2.888, -3.952], [-4.524, -0.716, -2.212], [-3.679, 3.470, 0.551]],
  "species": ["Th", "Tl", "Mg"],
  "frac_coords": [[0.500, 0.500, 0.500], [0.250, 0.250, 0.250], [0.000, 0.000, 0.000]],
  "e_form_mev_per_atom": 140,
  "rho_g_cm3": 8.2,
  "sg": "No. 216"
}



[18]
{
  "formula": "ThMg3Tl2",
  "functional": "PBE",
  "state": "optimized geometry",
  "lattice_angstrom": [[4.611, 0.000, 1.359], [1.030, 7.989, 5.006], [-0.144, 1.250, 8.989]],
  "species": ["Mg", "Mg", "Tl", "Tl", "Mg", "Th", "Th", "Mg", "Mg", "Mg", "Tl", "Tl"],
  "frac_coords": [[0.072, 0.301, 0.556], [0.301, 0.926, 0.473], [0.238, 0.336, 0.188], [0.479, 0.830, 0.212], [0.629, 0.492, 0.250], [0.884, 0.178, 0.055], [0.116, 0.822, 0.945], [0.928, 0.699, 0.444], [0.699, 0.074, 0.527], [0.371, 0.508, 0.750], [0.521, 0.170, 0.788], [0.762, 0.664, 0.812]],
  "e_form_mev_per_atom": -62,
  "rho_g_cm3": 7.8,
  "sg": "No. 12"
}



[19]
{
  "formula": "Th2MgTl3",
  "functional": "PBE",
  "state": "optimized geometry",
  "lattice_angstrom": [[5.102, 0.000, 0.000], [0.000, 6.450, 0.000], [-2.551, -3.225, 5.616]],
  "species": ["Tl", "Tl", "Tl", "Th", "Th", "Mg"],
  "frac_coords": [[0.000, 0.000, 0.000], [0.647, 0.647, 0.293], [0.353, 0.353, 0.707], [0.319, 0.819, 0.638], [0.681, 0.181, 0.362], [0.000, 0.500, 0.000]],
  "relative_energy_mev_per_atom": 231,
  "e_form_mev_per_atom": 113,
  "rho_g_cm3": 9.9,
  "sg": "No. 71"
}



[20]
{
  "formula": "ThMg15Tl4",
  "functional": "PBE",
  "state": "optimized geometry",
  "lattice_angstrom": [[-3.705, 1.706, 2.638], [1.811, -2.175, 3.949], [10.731, 16.699, 4.275]],
  "species": ["Mg", "Mg", "Mg", "Tl", "Mg", "Tl", "Mg", "Tl", "Mg", "Mg", "Mg", "Mg", "Mg", "Mg", "Mg", "Tl", "Mg", "Th", "Mg", "Mg"],
  "frac_coords": [[0.500, 0.000, 0.694], [0.500, 0.500, 0.599], [0.000, 0.500, 0.890], [0.000, 0.000, 0.404], [0.500, 0.000, 0.110], [0.000, 0.000, 0.596], [0.500, 0.500, 0.401], [0.000, 0.000, 0.206], [0.000, 0.500, 0.306], [0.000, 0.500, 0.500], [0.500, 0.000, 0.500], [0.500, 0.000, 0.890], [0.500, 0.500, 0.000], [0.000, 0.500, 0.694], [0.500, 0.500, 0.787], [0.000, 0.000, 0.794], [0.000, 0.500, 0.110], [0.000, 0.000, 0.000], [0.500, 0.000, 0.306], [0.500, 0.500, 0.213]],
  "e_form_mev_per_atom": -2,
  "rho_g_cm3": 4.9,
  "sg": "No. 123"
}



[21]
{
  "formula": "Th5Mg2Tl4",
  "functional": "PBE",
  "state": "optimized geometry",
  "lattice_angstrom": [[-1.207, 2.313, 2.372], [-8.308, -2.855, -1.445], [6.689, -6.587, 7.209]],
  "species": ["Th", "Th", "Tl", "Th", "Th", "Tl", "Mg", "Tl", "Th", "Mg", "Tl"],
  "frac_coords": [[0.866, 0.701, 0.732], [0.134, 0.299, 0.268], [0.719, 0.665, 0.439], [0.825, 0.062, 0.649], [0.175, 0.938, 0.351], [0.281, 0.335, 0.561], [0.418, 0.448, 0.835], [0.981, 0.288, 0.961], [0.500, 0.000, 0.000], [0.582, 0.552, 0.165], [0.019, 0.712, 0.039]],
  "e_form_mev_per_atom": 71,
  "rho_g_cm3": 10.3,
  "sg": "No. 12"
}



[22]
{
  "formula": "Th4MgTl3",
  "functional": "PBE",
  "state": "optimized geometry",
  "lattice_angstrom": [[-0.031, -0.850, 4.633], [1.763, -4.538, -0.821], [9.272, 3.475, 0.699]],
  "species": ["Th", "Th", "Mg", "Tl", "Th", "Tl", "Th", "Tl"],
  "frac_coords": [[0.000, 0.500, 0.250], [0.000, 0.500, 0.750], [0.500, 0.500, 0.000], [0.500, 0.500, 0.500], [0.000, 0.000, 0.500], [0.500, 0.000, 0.758], [0.000, 0.000, 0.000], [0.500, 0.000, 0.242]],
  "e_form_mev_per_atom": -93,
  "rho_g_cm3": 11.3,
  "sg": "No. 47"
}



[23]
{
  "formula": "ThMgTl2",
  "functional": "PBE",
  "state": "optimized geometry",
  "lattice_angstrom": [[4.816, 0.000, 0.000], [2.408, 4.171, 0.000], [2.408, 1.390, 5.701]],
  "species": ["Tl", "Th", "Mg", "Tl"],
  "frac_coords": [[0.269, 0.269, 0.194], [0.488, 0.488, 0.536], [0.693, 0.693, 0.922], [0.051, 0.051, 0.848]],
  "e_form_mev_per_atom": 81,
  "rho_g_cm3": 9.6,
  "sg": "No. 160"
}



[24]
{
  "formula": "Th3Mg2Tl3",
  "functional": "PBE",
  "state": "optimized geometry",
  "lattice_angstrom": [[4.690, 0.000, 0.000], [-2.345, 6.099, 0.000], [0.000, 0.000, 15.722]],
  "species": ["Tl", "Tl", "Tl", "Tl", "Mg", "Tl", "Mg", "Th", "Mg", "Th", "Th", "Th", "Th", "Tl", "Mg", "Th"],
  "frac_coords": [[0.650, 0.301, 0.750], [0.610, 0.220, 0.043], [0.390, 0.780, 0.957], [0.390, 0.780, 0.543], [0.223, 0.446, 0.092], [0.610, 0.220, 0.457], [0.777, 0.554, 0.592], [0.362, 0.723, 0.750], [0.223, 0.446, 0.408], [0.067, 0.133, 0.880], [0.933, 0.867, 0.120], [0.638, 0.277, 0.250], [0.933, 0.867, 0.380], [0.350, 0.699, 0.250], [0.777, 0.554, 0.908], [0.067, 0.133, 0.620]],
  "e_form_mev_per_atom": -99,
  "rho_g_cm3": 10.0,
  "sg": "No. 63"
}



[25]
{
  "formula": "ThMgTl2",
  "functional": "PBE",
  "state": "optimized geometry",
  "lattice_angstrom": [[4.874, 0.000, 0.000], [2.437, 4.221, 0.000], [2.437, 1.407, 5.371]],
  "species": ["Tl", "Tl", "Mg", "Th"],
  "frac_coords": [[0.766, 0.766, 0.702], [0.234, 0.234, 0.298], [0.500, 0.500, 0.500], [0.000, 0.000, 0.000]],
  "e_form_mev_per_atom": -61,
  "rho_g_cm3": 10.0,
  "sg": "No. 166"
}



[26]
{
  "formula": "ThMgTl",
  "functional": "PBE",
  "state": "optimized geometry",
  "lattice_angstrom": [[5.317, 0.000, 0.000], [0.000, 6.612, 0.000], [0.000, 0.000, 9.584]],
  "species": ["Tl", "Mg", "Th", "Tl", "Mg", "Mg", "Mg", "Tl", "Th", "Th", "Tl", "Th"],
  "frac_coords": [[0.000, 0.000, 0.594], [0.500, 0.750, 0.750], [0.000, 0.000, 0.922], [0.500, 0.500, 0.406], [0.500, 0.250, 0.750], [0.000, 0.750, 0.250], [0.000, 0.250, 0.250], [0.500, 0.000, 0.094], [0.000, 0.500, 0.578], [0.500, 0.500, 0.078], [0.000, 0.500, 0.906], [0.500, 0.000, 0.422]],
  "e_form_mev_per_atom": -45,
  "rho_g_cm3": 9.1,
  "sg": "No. 63"
}



The records above yield E_tot values of -3.009, -5.320, -2.547, -6.182, -2.799, -2.963, -5.899, -5.901, -2.530, -5.922, -5.656, -5.900, -5.985, -5.697, -6.236, -4.278, -3.653, -2.885, -3.809, -2.042, -4.452, -4.889, -3.355, -4.167, -3.497, -3.838 eV per atom, respectively.